# CsTlWO4, relaxed, DFT PBE+U
data_CsTlWO4
_chemical_formula_sum 'Cs1 Tl1 W1 O4'
_cell_length_a 6.7884
_cell_length_b 6.7884
_cell_length_c 6.7609
_cell_angle_alpha 120.13
_cell_angle_beta 120.13
_cell_angle_gamma 90.00
_space_group_name_H-M_alt 'P 1'
_space_group_IT_number 1
_space_group_name_Hall 'P 1'
loop_
_atom_site_label
_atom_site_fract_x
_atom_site_fract_y
_atom_site_fract_z
Cs1 0.0000 0.0000 0.0000
Tl1 0.5000 0.5000 0.0000
W1 0.2500 0.7500 0.5000
O1 0.2241 0.0330 0.7190
O2 0.3140 0.7759 0.2810
O3 0.4949 0.6860 0.7190
O4 0.9670 0.5051 0.2810
# V in Å³/atom: 31.34
# Total energy in eV/atom: -6.076
# Space group: I-4